# ZnAu2 (SCAN, single point on PBEsol structure)
# Formation enthalpy at 0 K = -0.198 eV per atom
# Total magnetization = 0.0 μB/f.u.
# DOS at the Fermi energy = 1.55 states/eV/cell
data_ZnAu2
_symmetry_space_group_name_H-M 'P 1'
_symmetry_Int_Tables_number 1
_cell_length_a 4.5095
_cell_length_b 4.5354
_cell_length_c 5.1737
_cell_angle_alpha 116.00
_cell_angle_beta 90.00
_cell_angle_gamma 90.00
loop_
_symmetry_equiv_pos_as_xyz
'x,y,z'
loop_
_atom_site_label
_atom_site_type_symbol
_atom_site_fract_x
_atom_site_fract_y
_atom_site_fract_z
Au1 Au 0.2500 0.4405 0.3096
Au2 Au 0.7500 0.5595 0.6904
Au3 Au 0.7500 0.8691 0.3096
Au4 Au 0.2500 0.1309 0.6904
Zn1 Zn 0.7500 0.2107 0.0000
Zn2 Zn 0.2500 0.7893 0.0000